# 1
# Mn2CuNi (PBE-GGA, optimized geometry)
data_Mn2CuNi
_cell_length_a 3.538
_cell_length_b 2.597
_cell_length_c 5.782
_cell_angle_alpha 63.32
_cell_angle_beta 90.00
_cell_angle_gamma 90.00
_space_group_name_H-M_alt 'P 1'
_space_group_IT_number 1
loop_
_space_group_symop_operation_xyz
'x,y,z'
loop_
_atom_site_label
_atom_site_type_symbol
_atom_site_fract_x
_atom_site_fract_y
_atom_site_fract_z
Mn1 Mn 0.000 0.999 0.002
Mn2 Mn 0.500 0.250 0.250
Ni1 Ni 0.000 0.494 0.505
Cu1 Cu 0.500 0.758 0.742
# D(E_F)   3.23 states/eV/cell
# Formation energy from the elements   22 meV per atom
# Total DFT energy (no corrections)   -28.129 eV per cell
# Symmetry   No. 25



# 2
# HfTi5Sb6 (PBE-GGA, optimized geometry)
data_HfTi5Sb6
_cell_length_a 6.920
_cell_length_b 6.904
_cell_length_c 6.904
_cell_angle_alpha 60.00
_cell_angle_beta 80.50
_cell_angle_gamma 70.72
_space_group_name_H-M_alt 'P 1'
_space_group_IT_number 1
loop_
_space_group_symop_operation_xyz
'x,y,z'
loop_
_atom_site_label
_atom_site_type_symbol
_atom_site_fract_x
_atom_site_fract_y
_atom_site_fract_z
Sb1 Sb 0.764 0.729 0.000
Sb2 Sb 0.263 0.567 0.342
Sb3 Sb 0.236 0.271 0.000
Sb4 Sb 0.737 0.433 0.658
Sb5 Sb 0.737 0.091 0.342
Sb6 Sb 0.263 0.909 0.658
Ti1 Ti 0.500 0.850 0.299
Ti2 Ti 0.500 0.500 0.000
Ti3 Ti 0.500 0.150 0.701
Ti4 Ti 0.000 0.322 0.357
Ti5 Ti 0.000 0.678 0.643
Hf1 Hf 0.000 0.000 0.000
# D(E_F)   9.61 states/eV/cell
# Formation energy (no corrections)   -307 meV/atom
# Total DFT energy (no corrections)   -77.852 eV per cell
# Symmetry   No. 12



# 3
# CsCaTlBr4 (PBE-GGA, optimized geometry)
data_CsCaTlBr4
_cell_length_a 5.698
_cell_length_b 5.698
_cell_length_c 9.636
_cell_angle_alpha 107.20
_cell_angle_beta 107.20
_cell_angle_gamma 90.00
_space_group_name_H-M_alt 'P 1'
_space_group_IT_number 1
loop_
_space_group_symop_operation_xyz
'x,y,z'
loop_
_atom_site_label
_atom_site_type_symbol
_atom_site_fract_x
_atom_site_fract_y
_atom_site_fract_z
Ca1 Ca 0.001 0.001 0.002
Tl1 Tl 0.356 0.356 0.713
Br1 Br 0.839 0.839 0.677
Br2 Br 0.997 0.497 0.994
Br3 Br 0.169 0.169 0.338
Br4 Br 0.497 0.997 0.994
Cs1 Cs 0.641 0.641 0.283
# D(E_F)   0.00 states/eV/cell
# Formation energy (no corrections)   -1617 meV/atom
# Total DFT energy (no corrections)   -23.232 eV per cell
# Symmetry   No. 107



# 4
# Pm3Sm4ThSe8 (PBE-GGA, optimized geometry)
data_Pm3Sm4ThSe8
_cell_length_a 8.374
_cell_length_b 8.373
_cell_length_c 8.373
_cell_angle_alpha 119.99
_cell_angle_beta 120.01
_cell_angle_gamma 90.00
_space_group_name_H-M_alt 'P 1'
_space_group_IT_number 1
loop_
_space_group_symop_operation_xyz
'x,y,z'
loop_
_atom_site_label
_atom_site_type_symbol
_atom_site_fract_x
_atom_site_fract_y
_atom_site_fract_z
Se1 Se 0.751 0.752 0.502
Se2 Se 0.249 0.248 0.998
Se3 Se 0.251 0.752 0.502
Se4 Se 0.251 0.752 0.002
Se5 Se 0.749 0.248 0.498
Se6 Se 0.751 0.752 0.002
Se7 Se 0.749 0.248 0.998
Se8 Se 0.249 0.248 0.498
Pm1 Pm 0.500 0.500 0.500
Pm2 Pm 0.000 0.500 0.500
Pm3 Pm 0.500 0.500 0.000
Sm1 Sm 0.000 0.000 0.500
Sm2 Sm 0.000 0.000 0.000
Sm3 Sm 0.500 0.000 0.500
Sm4 Sm 0.500 0.000 0.000
Th1 Th 0.000 0.500 0.000
# D(E_F)   11.71 states/eV/cell
# Formation energy (no corrections)   -1781 meV/atom
# Total DFT energy (no corrections)   -96.920 eV per cell
# Symmetry   No. 166